Density functional theory data (PBE-GGA) for a relaxed structure of HfMgHgAu.

Cell lengths 4.813, 4.813, 4.813 Å; angles 60.00, 60.00, 60.00 degrees
Positions (direct):
Hf 0.000 0.000 0.000
Mg 0.500 0.500 0.500
Hg 0.750 0.750 0.750
Au 0.250 0.250 0.250

Computed properties:
As for the total DFT energy (no corrections): -16.46 eV/cell. The symmetry is F-43m (216). The density of states at the Fermi level is 0.6713 states/eV per atom. Its formation enthalpy at 0 K is -0.333 eV/atom.